1.
Pm12Er6Th | GGA-PBE | optimized geometry

The structure in extended XYZ format:
```
19
Lattice="6.625 3.825 4.269 -6.625 3.825 4.269 0.000 -7.650 4.269" Properties=species:S:1:pos:R:3 pbc="T T T"
Pm -1.741 -4.635 4.269
Pm -4.884 0.810 4.269
Pm -2.756 -1.591 5.723
Pm 1.741 -4.635 4.269
Pm -3.144 3.825 4.269
Pm 0.000 -3.182 7.083
Pm -2.756 1.591 7.083
Pm 2.756 -1.591 5.723
Pm 0.000 3.182 5.723
Pm 4.884 0.810 4.269
Pm 3.144 3.825 4.269
Pm 2.756 1.591 7.083
Er 0.000 -2.018 2.919
Er -1.747 1.009 2.919
Er 1.747 1.009 2.919
Er -1.747 -1.009 9.887
Er 1.747 -1.009 9.887
Er 0.000 2.018 9.887
Th 0.000 0.000 0.000
```

Output
Raw total energy   -4.701 eV/atom

---

2.
Pm2Er7Th2 | GGA-PBE | optimized geometry

The structure in extended XYZ format:
```
11
Lattice="5.541 -5.732 0.000 5.541 5.732 0.000 -2.450 0.000 5.588" Properties=species:S:1:pos:R:3 pbc="T T T"
Pm 5.541 3.298 0.000
Pm 5.541 -3.298 0.000
Er -1.225 0.000 2.794
Er 2.830 2.991 1.843
Er 2.503 0.000 0.430
Er 5.801 2.991 3.745
Er 2.830 -2.991 1.843
Er 6.128 0.000 5.158
Er 5.801 -2.991 3.745
Th 2.838 0.000 3.840
Th 5.793 0.000 1.748
```

Output
Raw total energy   -4.934 eV/atom
E above lowest polymorph   2 meV/atom

---

3.
Pm2ErTh3 | GGA-PBE | optimized geometry

The structure in extended XYZ format:
```
12
Lattice="5.140 -5.695 0.000 5.140 5.695 0.000 0.000 0.000 6.762" Properties=species:S:1:pos:R:3 pbc="T T T"
Pm 3.423 3.073 5.071
Pm 6.858 3.073 5.071
Pm 3.423 -3.073 1.690
Pm 6.858 -3.073 1.690
Er 5.140 2.607 1.690
Er 5.140 -2.607 5.071
Th 0.000 0.000 0.000
Th 0.000 0.000 3.381
Th 3.437 0.000 0.000
Th 3.437 0.000 3.381
Th 6.844 0.000 0.000
Th 6.844 0.000 3.381
```

Output
Raw total energy   -5.861 eV/atom

---

4.
Pm7Er3Th | GGA-PBE | optimized geometry

The structure in extended XYZ format:
```
22
Lattice="7.017 0.000 0.000 0.000 11.173 0.000 -3.460 0.000 9.546" Properties=species:S:1:pos:R:3 pbc="T T T"
Pm 0.022 0.166 1.640
Pm 0.022 5.420 1.640
Pm 0.004 8.380 3.090
Pm 0.015 2.793 3.799
Pm 0.037 8.380 6.468
Pm 0.016 0.495 7.821
Pm 0.016 5.091 7.821
Pm 3.541 6.082 1.725
Pm 3.541 10.678 1.725
Pm 3.520 2.793 3.078
Pm 3.542 8.380 5.748
Pm 3.553 2.793 6.457
Pm 3.535 5.752 7.906
Pm 3.535 11.007 7.906
Er -1.783 8.380 9.358
Er 1.708 2.793 0.203
Er 1.779 0.000 4.773
Er 1.779 5.586 4.773
Er 1.849 8.380 9.343
Er 5.340 2.793 0.188
Th -1.730 0.000 4.773
Th -1.730 5.586 4.773
```

Output
Raw total energy   -4.814 eV/atom
E above lowest polymorph   0 meV/atom

---

5.
Pm3Er12Th | GGA-PBE | optimized geometry

The structure in extended XYZ format:
```
16
Lattice="5.004 0.000 0.000 0.000 5.004 0.000 0.000 0.000 20.032" Properties=species:S:1:pos:R:3 pbc="T T T"
Pm 0.000 0.000 0.000
Pm 0.000 0.000 5.029
Pm 0.000 0.000 15.003
Er 0.000 2.502 2.515
Er 0.000 2.502 7.558
Er 0.000 2.502 12.474
Er 0.000 2.502 17.517
Er 2.502 0.000 2.515
Er 2.502 0.000 7.558
Er 2.502 0.000 12.474
Er 2.502 0.000 17.517
Er 2.502 2.502 0.000
Er 2.502 2.502 5.011
Er 2.502 2.502 10.016
Er 2.502 2.502 15.021
Th 0.000 0.000 10.016
```

Output
Raw total energy   -4.751 eV/atom

---

6.
Pm4ErTh | GGA-PBE | optimized geometry

The structure in extended XYZ format:
```
12
Lattice="6.073 -2.839 0.000 6.073 2.839 0.000 -4.010 0.000 11.467" Properties=species:S:1:pos:R:3 pbc="T T T"
Pm 0.713 1.423 8.133
Pm 3.400 1.420 6.225
Pm 2.732 1.420 10.975
Pm 5.420 1.423 9.067
Pm 2.717 -1.423 2.399
Pm 5.405 -1.420 0.491
Pm 4.737 -1.420 5.242
Pm 7.425 -1.423 3.334
Er 5.071 1.418 2.867
Er 3.066 -1.418 8.600
Th 3.037 1.420 0.000
Th 1.032 -1.420 5.733
```

Output
Raw total energy   -5.105 eV/atom
E above lowest polymorph   0 meV/atom

---

7.
Pm6ErTh | GGA-PBE | optimized geometry

The structure in extended XYZ format:
```
8
Lattice="7.234 0.000 0.000 0.000 7.234 0.000 0.000 0.000 5.153" Properties=species:S:1:pos:R:3 pbc="T T T"
Pm 0.000 3.617 0.000
Pm 1.778 1.778 2.577
Pm 1.778 5.456 2.577
Pm 3.617 0.000 0.000
Pm 5.456 1.778 2.577
Pm 5.456 5.456 2.577
Er 3.617 3.617 0.000
Th 0.000 0.000 0.000
```

Output
Raw total energy   -5.025 eV/atom
E above lowest polymorph   0 meV/atom

---

8.
Pm2Er4Th | GGA-PBE | optimized geometry

The structure in extended XYZ format:
```
7
Lattice="3.112 -1.797 0.000 3.112 1.797 0.000 -2.085 0.000 20.093" Properties=species:S:1:pos:R:3 pbc="T T T"
Pm 0.000 0.000 0.000
Pm -0.008 0.000 5.773
Er -0.009 0.000 17.194
Er 2.071 0.000 2.902
Er 4.141 0.000 8.670
Er 4.136 0.000 14.414
Th -0.013 0.000 11.543
```

Output
Raw total energy   -5.000 eV/atom
E above lowest polymorph   0 meV/atom

---

no.,total moment (μB per atom),E_form (meV per atom),mass density (g/cm³)
1,0.000,131,7.61
2,0.000,182,9.01
3,0.000,192,9.67
4,0.000,128,7.76
5,0.000,25,8.85
6,0.000,59,8.22
7,0.000,36,7.82
8,0.000,25,8.80